## ZnCoO2F (GGA+U)

Data for a geometry-optimized ZnCoO2F structure.

Computed properties:
As for the space group: P4/mmm. As for the total energy: -21.13 eV per cell.

Structure (POSCAR):
```
ZnCoO2F
1.0
-1.3133 -1.8142 3.1146
-2.0274 -2.3691 -2.2348
3.0622 -2.4773 -0.1518
Zn F O Co
1 1 2 1
Cartesian
0.0000 0.0000 0.0000
1.5311 -1.2387 -0.0759
-0.6566 -0.9071 1.5573
-1.0137 -1.1845 -1.1174
-0.1392 -3.3303 0.3640
```